Record 1
The following is a PBE-GGA calculation of a geometry-optimized MnCd2HPt structure, from Alexandria via LeMat-Bulk.

```
MnCd2HPt
1.0
-2.2103 -2.5429 -3.1757
0.9183 -3.8327 2.4298
-2.9339 0.3924 1.7278
Mn Cd H Pt
1 2 1 1
direct
0.0000 0.0000 0.5000
0.5000 0.0000 0.0000
0.0000 0.5000 0.0000
0.0000 0.0000 0.0000
0.5000 0.5000 0.5000
```

Summary:
* size of the total moment: 3.55 μB/cell
* electronic total energy: -20.14 eV per cell
* density: 10.8 g/cm³
* crystal system: tetragonal
* symmetry: P4/mmm (123)

---

Record 2
The following is a PBE-GGA calculation of a geometry-optimized Rb3In4Sn2 structure, from Alexandria via LeMat-Bulk.

```
Rb3In4Sn2
1.0
-1.6980 2.8905 -3.5802
-6.8282 2.8021 2.1411
-1.7050 10.9133 6.2599
Rb Sn In
3 2 4
direct
0.3321 0.6715 0.6644
0.0000 0.0000 0.0000
0.6679 0.3285 0.3356
0.3888 0.9474 0.2750
0.6112 0.0526 0.7250
0.9451 0.7216 0.3882
0.2776 0.3873 0.0575
0.7224 0.6127 0.9425
0.0549 0.2784 0.6118
```

Summary:
* size of the total moment: 0.00 μB/cell
* density: 4.2 g/cm³
* offset from the most stable computed form: 0.000 eV/f.u.
* crystal system: monoclinic
* ΔH_f (0 K): -0.1392 eV per atom
* symmetry: C2/m (12)

---

Record 3
The following is a PBE-GGA calculation of a geometry-optimized SrLi14Mg structure, from Alexandria via LeMat-Bulk.

```
SrLi14Mg
1.0
-5.4994 1.6404 -3.0055
3.0359 -1.0247 -5.6303
-2.4873 -8.0962 0.1323
Li Sr Mg
14 1 1
direct
0.6246 0.8736 0.0000
0.8542 0.1458 0.7697
0.8585 0.6072 0.7727
0.1273 0.3777 0.5000
0.6223 0.8727 0.5000
0.6241 0.3759 0.0000
0.8585 0.6072 0.2273
0.1253 0.8747 0.0000
0.3954 0.6046 0.2328
0.1264 0.3754 0.0000
0.3928 0.1415 0.7727
0.8542 0.1458 0.2303
0.3928 0.1415 0.2273
0.3954 0.6046 0.7672
0.1218 0.8782 0.5000
0.6263 0.3737 0.5000
```

Summary:
* size of the total moment: 0.00 μB/cell
* density: 1.0 g/cm³
* crystal system: orthorhombic
* ΔH_f (0 K): 0.0260 eV per atom
* symmetry: Amm2 (38)

---

Record 4
The following is a PBE-GGA calculation of a geometry-optimized Zr2VHOs structure, from Alexandria via LeMat-Bulk.

```
Zr2VHOs
1.0
-3.5709 -2.6912 -1.2143
2.3448 -1.4270 -3.7328
1.3307 -2.5895 1.8259
Zr V H Os
2 1 1 1
direct
0.0000 0.5000 0.0000
0.5000 0.0000 0.0000
0.0000 0.0000 0.5000
0.0000 0.0000 0.0000
0.5000 0.5000 0.5000
```

Summary:
* size of the total moment: 1.13 μB/cell
* electronic total energy: -42.03 eV per cell
* density: 9.6 g/cm³
* crystal system: tetragonal
* symmetry: P4/mmm (123)